Density functional theory data (PBE-GGA) for a relaxed structure of B2RuC.

Values from the calculation:
Calculated volume (Å³/atom): 9.427
Formation energy (eV per atom): 0.63
Calculated total energy (eV per cell): -58.6

Cell lengths 4.493, 4.493, 4.904 Å; angles 62.73, 62.73, 90.00 degrees
Positions (direct):
Ru: 0.000 0.000 0.000
Ru: 0.750 0.250 0.500
C: 0.500 0.500 0.000
C: 0.250 0.750 0.500
B: 0.537 0.125 0.250
B: 0.213 0.625 0.250
B: 0.375 0.463 0.750
B: 0.875 0.787 0.750

---

Density functional theory data (PBE-GGA) for a relaxed structure of In2HgPb2.

Values from the calculation:
Calculated volume (Å³/atom): 30.054
Formation energy (eV per atom): 0.10
ΔE to the lowest computed polymorph (meV/atom): 99.7
Calculated total energy (eV per cell): -25.3

Cell lengths 8.662, 8.662, 4.006 Å; angles 90.00, 90.00, 90.00 degrees
Positions (direct):
Pb: 0.153 0.653 0.500
Pb: 0.653 0.847 0.500
Pb: 0.847 0.347 0.500
Pb: 0.347 0.153 0.500
Hg: 0.000 0.000 0.000
Hg: 0.500 0.500 0.000
In: 0.355 0.855 0.000
In: 0.855 0.645 0.000
In: 0.645 0.145 0.000
In: 0.145 0.355 0.000

---

Density functional theory data (PBE-GGA) for a relaxed structure of Er2TmScN4.

Values from the calculation:
Formation energy (no corrections) (eV/atom): -1.800
Calculated volume (Å³/atom): 13.504
Calculated total energy (eV per cell): -67.6

Cell lengths 3.370, 5.831, 5.831 Å; angles 109.43, 90.00, 90.00 degrees
Positions (direct):
Er: 0.500 0.000 0.500
Er: 0.000 0.500 0.500
Tm: 0.500 0.500 0.000
Sc: 0.000 0.000 0.000
N: 0.500 0.243 0.242
N: 0.500 0.757 0.758
N: 0.000 0.247 0.755
N: 0.000 0.753 0.245

---

Density functional theory data (PBE-GGA) for a relaxed structure of Pr2AsP3Pt4.

Values from the calculation:
Calculated volume (Å³/atom): 18.477
Formation energy (eV per atom): -0.95
Calculated total energy (eV per cell): -64.1

Cell lengths 4.388, 4.388, 9.597 Å; angles 90.00, 90.00, 90.00 degrees
Positions (direct):
Pr: 0.500 0.000 0.250
Pr: 0.000 0.500 0.750
As: 0.500 0.500 0.500
P: 0.000 0.000 0.500
P: 0.500 0.000 0.872
P: 0.000 0.500 0.128
Pt: 0.500 0.500 0.000
Pt: 0.000 0.000 0.000
Pt: 0.500 0.000 0.624
Pt: 0.000 0.500 0.376

---

Density functional theory data (PBE-GGA) for a relaxed structure of BaTa2Mn.

Values from the calculation:
Calculated volume (Å³/atom): 19.211
Formation energy (eV per atom): 1.33
ΔE to the lowest computed polymorph (meV/atom): 755.4
Calculated total energy (eV per cell): -29.5

Cell lengths 4.772, 4.772, 4.772 Å; angles 60.00, 60.00, 60.00 degrees
Positions (direct):
Mn: 0.000 0.000 0.000
Ba: 0.500 0.500 0.500
Ta: 0.250 0.250 0.250
Ta: 0.750 0.750 0.750

---

Density functional theory data (PBE-GGA) for a relaxed structure of CaEr2PaAs4.

Values from the calculation:
Calculated volume (Å³/atom): 24.605
Formation energy (eV per atom): -1.33
Calculated total energy (eV per cell): -49.9

Cell lengths 4.123, 7.112, 7.108 Å; angles 109.17, 90.00, 90.00 degrees
Positions (direct):
Ca: 0.500 0.500 0.000
Er: 0.500 0.000 0.500
Er: 0.000 0.500 0.500
Pa: 0.000 0.000 0.000
As: 0.500 0.246 0.251
As: 0.500 0.754 0.749
As: 0.000 0.239 0.748
As: 0.000 0.761 0.252

---

Density functional theory data (PBE-GGA) for a relaxed structure of LiGdHoPt.

Values from the calculation:
Calculated volume (Å³/atom): 22.008
Formation energy (eV per atom): -0.65
Calculated total energy (eV per cell): -29.2

Cell lengths 4.993, 4.993, 4.993 Å; angles 60.00, 60.00, 60.00 degrees
Positions (direct):
Gd: 0.000 0.000 0.000
Ho: 0.500 0.500 0.500
Pt: 0.750 0.750 0.750
Li: 0.250 0.250 0.250

---

Density functional theory data (PBE-GGA) for a relaxed structure of Sm2Tm5Th.

Values from the calculation:
Calculated volume (Å³/atom): 31.049
Formation energy (eV per atom): 0.02
ΔE to the lowest computed polymorph (meV/atom): 0.0
Calculated total energy (eV per cell): -39.0

Cell lengths 7.032, 7.032, 7.032 Å; angles 91.20, 119.31, 119.31 degrees
Positions (direct):
Sm: 0.500 0.222 0.722
Sm: 0.500 0.722 0.222
Tm: 0.500 0.722 0.722
Tm: 0.000 0.222 0.722
Tm: 0.000 0.722 0.222
Tm: 0.500 0.222 0.222
Tm: 0.000 0.722 0.722
Th: 0.000 0.222 0.222

---

Density functional theory data (PBE-GGA) for a relaxed structure of AgHg2ClO2.

Values from the calculation:
Formation energy (no corrections) (eV/atom): -0.154
Calculated volume (Å³/atom): 26.400
Calculated total energy (eV per cell): -32.3

Cell lengths 5.933, 7.512, 8.011 Å; angles 117.45, 90.00, 90.00 degrees
Positions (direct):
Ag: 0.250 0.024 0.000
Ag: 0.750 0.976 0.000
Hg: 0.250 0.172 0.469
Hg: 0.250 0.566 0.661
Hg: 0.750 0.828 0.531
Hg: 0.750 0.434 0.339
Cl: 0.750 0.193 0.652
Cl: 0.250 0.807 0.348
O: 0.512 0.151 0.187
O: 0.988 0.151 0.187
O: 0.012 0.849 0.813
O: 0.488 0.849 0.813

---

Density functional theory data (PBE-GGA) for a relaxed structure of CsInPb2Se4.

Values from the calculation:
Formation energy (no corrections) (eV/atom): -0.631
Calculated volume (Å³/atom): 36.750
Calculated total energy (eV per cell): -30.0

Cell lengths 7.330, 7.330, 7.330 Å; angles 115.61, 115.61, 97.80 degrees
Positions (direct):
Cs: 0.500 0.500 0.000
In: 0.000 0.000 0.000
Pb: 0.750 0.250 0.500
Pb: 0.250 0.750 0.500
Se: 0.655 0.655 0.597
Se: 0.942 0.345 0.000
Se: 0.345 0.942 0.000
Se: 0.058 0.058 0.403

---

Density functional theory data (PBE-GGA) for a relaxed structure of BiSbPb4.

Values from the calculation:
Formation energy (no corrections) (eV/atom): 0.055
Calculated volume (Å³/atom): 32.782
ΔE to the lowest computed polymorph (meV/atom): 0.0
Calculated total energy (eV per cell): -45.0

Cell lengths 6.980, 8.611, 8.332 Å; angles 115.85, 108.63, 101.10 degrees
Positions (direct):
Bi: 0.423 0.673 0.346
Bi: 0.577 0.327 0.654
Sb: 0.307 0.057 0.114
Sb: 0.693 0.943 0.886
Pb: 0.020 0.273 0.891
Pb: 0.886 0.672 0.653
Pb: 0.370 0.618 0.891
Pb: 0.267 0.981 0.653
Pb: 0.733 0.019 0.347
Pb: 0.630 0.382 0.109
Pb: 0.114 0.328 0.347
Pb: 0.980 0.727 0.109